This record from the Alexandria database describes a relaxed Rb2Fe2F7 crystal. The functional is GGA+U.

Total energy in eV per atom: -4.915
D(E_F) in states/eV/atom: 0.29

```
Rb2Fe2F7
1.0
4.090 -6.392 0.000
4.090 6.392 0.000
0.000 0.000 4.005
Rb Fe F
2 2 7
Direct
0.243 0.757 0.000
0.757 0.243 0.000
0.258 0.258 0.500
0.742 0.742 0.500
0.050 0.337 0.500
0.246 0.246 0.000
0.337 0.050 0.500
0.500 0.500 0.500
0.663 0.950 0.500
0.754 0.754 0.000
0.950 0.663 0.500
```